(1)
A relaxed NaScBeB crystal. Source: Alexandria, functional PBE.

Summary:
E_tot: -4.225 eV per atom
Spin magnetization: 0.0 μB/cell
Theoretical density: 2.217 g/cm3
D(E_F): 2.90 states/eV/f.u.
Calculated volume: 132 Å³/cell

Cell and atoms, written as POSCAR:
```
NaScBeB
1.0
-3.2450 0.3004 -0.9960
-0.0304 -3.6616 -1.0056
-3.1014 -2.5391 9.3390
Sc Na B Be
2 2 2 2
Cartesian
-3.7686 -1.6068 5.9642
-2.2330 -2.1680 0.7919
-3.0088 -2.4633 9.0602
-1.4733 -3.0246 3.8879
-0.8220 -0.6729 2.4751
-2.3878 -3.7733 6.6417
-2.6914 -0.7249 2.7208
-4.2573 -3.8253 6.8875
```

(2)
A relaxed Ba2GeMo crystal. Source: Alexandria, functional PBE.

Summary:
E_tot: -3.904 eV per atom
Spin magnetization: 4.9 μB/cell
Theoretical density: 5.816 g/cm3
D(E_F): 4.97 states/eV/f.u.
Calculated volume: 253 Å³/cell

Cell and atoms, written as POSCAR:
```
Ba2GeMo
1.0
9.0101 0.0000 0.0000
0.0000 9.0101 0.0000
4.5050 4.5050 3.1174
Mo Ge Ba
2 2 4
Cartesian
0.0000 0.0000 0.0000
9.0101 4.5050 1.5587
4.5050 4.5050 0.0000
4.5050 9.0101 1.5587
6.8700 2.2525 0.7794
2.1400 6.7576 0.7794
6.7576 6.6451 2.3381
11.2626 11.3751 2.3381
```

(3)
A relaxed Ce3CoCu crystal. Source: Alexandria, functional PBE.

Summary:
E_tot: -5.921 eV per atom
Spin magnetization: 0.5 μB/cell
Theoretical density: 8.497 g/cm3
D(E_F): 9.07 states/eV/f.u.
Calculated volume: 212 Å³/cell

Cell and atoms, written as POSCAR:
```
Ce3CoCu
1.0
-1.4214 -0.5797 -4.4703
-4.3982 -1.0143 4.0287
-1.5157 7.9227 -0.5455
Ce Co Cu
6 2 2
Cartesian
-2.0114 3.3022 0.2113
-5.3239 3.0264 -1.1984
-4.9736 0.1990 1.5556
-2.3617 6.1296 -2.5427
-3.4541 5.7732 0.3495
-3.8812 0.5554 -1.3367
-2.6321 3.3538 -2.0967
-4.7032 2.9748 1.1096
-6.1678 5.8658 -1.2983
-1.1675 0.4628 0.3112
```

(4)
A relaxed NiPtW crystal. Source: Alexandria, functional PBE.

Summary:
E_tot: -8.420 eV per atom
Spin magnetization: 0.0 μB/cell
Theoretical density: 17.099 g/cm3
D(E_F): 2.19 states/eV/f.u.
Calculated volume: 170 Å³/cell

Cell and atoms, written as POSCAR:
```
NiPtW
1.0
-1.2572 -4.4619 0.7819
2.1988 -1.4116 -4.5195
5.6031 -0.8617 4.0915
W Pt Ni
4 4 4
Cartesian
2.5932 -3.3636 1.4086
1.5739 -1.4363 -3.3641
3.9516 -3.3715 -1.0547
4.9708 -5.2989 3.7180
5.2729 -4.1673 1.1589
2.0500 -5.2321 -0.6247
1.2718 -2.5678 -0.8050
4.4948 -1.5031 0.9786
4.3095 -2.7003 3.3495
1.9317 -0.7655 1.0402
2.2352 -4.0349 -2.9955
4.6130 -5.9696 -0.6862
```